Computed, not measured: a relaxed SrCoMo crystal at the PBE-GGA level of DFT.

Geometry as POSCAR:
```
SrCoMo
1.0
-1.622 1.622 5.932
1.622 -1.622 5.932
1.622 1.622 -5.932
Sr Co Mo
1 1 1
direct
0.000 0.000 0.000
0.709 0.709 0.000
0.277 0.277 0.000
```

Properties
Formation enthalpy at 0 K = 0.555 eV/atom
ΔE to the lowest computed polymorph = 0.000 eV/atom
Total moment = 0.0 μB per formula unit
Symmetry = I4mm
DOS(E_F) = 0.697 states/eV/atom
Total energy = -5.985 eV per atom
ρ = 6.45 Mg/m³